No. 1
First-principles (GGA-PBE) data for an optimized crystal structure of FeSb2Se4, as listed in OQMD via LeMat-Bulk.

a = 6.7932 Å, b = 6.7932 Å, c = 15.3636 Å
α = 112.91°, β = 112.91°, γ = 34.00°
Last column: nearest neighbours and their distance in Å.
Positions (direct):
Fe 0.0000 0.0000 0.0000  6 Se 2.54-2.69
Fe 0.5000 0.5000 0.5000  6 Se 2.59-2.67
Sb 0.1516 0.1516 0.3765  3 Se 2.69-2.76
Sb 0.2207 0.2207 0.8662  3 Se 2.66-2.76
Sb 0.7793 0.7793 0.1338  3 Se 2.66-2.76
Sb 0.8484 0.8484 0.6235  3 Se 2.69-2.76
Se 0.1503 0.1503 0.5513  2 Fe 2.67, 1 Sb 2.69
Se 0.1529 0.1529 0.1683  1 Fe 2.54, 2 Sb 2.76
Se 0.3863 0.3863 0.0403  1 Sb 2.66, 2 Fe 2.69
Se 0.4904 0.4904 0.3280  1 Fe 2.59, 2 Sb 2.76
Se 0.5096 0.5096 0.6720  1 Fe 2.59, 2 Sb 2.76
Se 0.6137 0.6137 0.9597  1 Sb 2.66, 2 Fe 2.69
Se 0.8471 0.8471 0.8317  1 Fe 2.54, 2 Sb 2.76
Se 0.8497 0.8497 0.4487  2 Fe 2.67, 1 Sb 2.69

Properties
E above lowest polymorph: 0 meV per atom

***

No. 2
First-principles (GGA-PBE) data for an optimized crystal structure of Ba3Sm4O9, as listed in OQMD via LeMat-Bulk.

a = 9.3591 Å, b = 9.3591 Å, c = 9.3591 Å
α = 38.76°, β = 38.76°, γ = 38.76°
Last column: nearest neighbours and their distance in Å.
Positions (direct):
Ba 0.0000 0.0000 0.0000  6 O 2.70-2.86
Ba 0.1661 0.1661 0.1661  6 O 2.68-2.86
Ba 0.5833 0.5833 0.5833  3 O 2.61
Sm 0.3006 0.3006 0.3006  6 O 2.28-2.36
Sm 0.4272 0.4272 0.4272  6 O 2.27-2.50
Sm 0.7387 0.7387 0.7387  6 O 2.26-2.50
Sm 0.8652 0.8652 0.8652  6 O 2.28-2.36
O 0.0024 0.5837 0.1631  2 Sm 2.28
O 0.0407 0.4389 0.6003  3 Sm 2.26-2.50
O 0.1248 0.5626 0.7298  3 Sm 2.27-2.50
O 0.1631 0.0024 0.5837  2 Sm 2.28
O 0.4389 0.6003 0.0407  3 Sm 2.26-2.50
O 0.5626 0.7298 0.1248  3 Sm 2.27-2.50
O 0.5837 0.1631 0.0024  2 Sm 2.28
O 0.6003 0.0407 0.4389  3 Sm 2.26-2.50
O 0.7298 0.1248 0.5626  3 Sm 2.27-2.50

Properties
final energy: -118.11 eV/cell

***

No. 3
First-principles (GGA-PBE) data for an optimized crystal structure of Au2BrCl, as listed in OQMD via LeMat-Bulk.

a = 4.3384 Å, b = 4.3384 Å, c = 7.0701 Å
α = 90.00°, β = 90.00°, γ = 120.00°
Last column: nearest neighbours and their distance in Å.
Positions (direct):
Au 0.0000 0.0000 0.0000  3 Cl 2.63, 1 Br 2.70
Au 0.3333 0.6667 0.5206  1 Cl 2.60, 3 Br 2.69
Br 0.0000 0.0000 0.3813  4 Au 2.69-2.70
Cl 0.3333 0.6667 0.8879  4 Au 2.60-2.63

Properties
final energy: -9.50 eV/cell

***

No. 4
First-principles (GGA-PBE) data for an optimized crystal structure of AlZn2, as listed in OQMD via LeMat-Bulk.

a = 8.0280 Å, b = 8.0280 Å, c = 8.0280 Å
α = 60.00°, β = 60.00°, γ = 60.00°
Last column: nearest neighbours and their distance in Å.
Positions (direct):
Al 0.1250 0.1250 0.1250  4 Zn 2.46
Al 0.8750 0.8750 0.8750  4 Zn 2.46
Zn 0.0000 0.0000 0.0000  2 Al 2.46
Zn 0.0000 0.0000 0.5000  2 Al 2.46
Zn 0.0000 0.5000 0.0000  2 Al 2.46
Zn 0.5000 0.0000 0.0000  2 Al 2.46

Properties
final energy: -7.88 eV/cell